5
Lattice="-2.422 -3.021 1.347 2.072 -0.084 3.536 -2.579 2.770 1.576" Properties=species:S:1:pos:R:3 comment="CsFe3B (GGA-PBEsol, optimized geometry)" dft_energy_ry_per_atom=-0.435 formation_energy_ev_per_atom=1.057 m_tot_mub_per_fu=5.56 sg=Pm-3m pbc="T T T"
B 0.000 0.000 0.000
Fe -1.211 -1.511 0.673
Fe 1.036 -0.042 1.768
Fe -1.289 1.385 0.788
Cs -1.464 -0.168 3.230


4
Lattice="-0.529 -1.504 2.292 -1.616 -2.744 -2.173 5.070 -2.574 -0.520" Properties=species:S:1:pos:R:3 comment="CuAg3 (GGA-PBEsol, optimized geometry)" dft_energy_ry_per_atom=-0.257 formation_energy_ev_per_atom=0.074 m_tot_mub_per_fu=0.00 sg=Pmmm pbc="T T T"
Cu -1.072 -2.124 0.059
Ag 1.206 -0.612 -0.124
Ag 1.462 -3.411 -0.201
Ag 3.864 -1.962 -0.396